Material: GdHoIr2
Method: DFT, PBE
State: optimized geometry

Structure (extended XYZ):
```
4
Lattice="4.7479 0.0000 0.0000 0.0000 4.7479 0.0000 0.0000 0.0000 3.5909" Properties=species:S:1:pos:R:3 pbc="T T T"
Gd 0.0000 0.0000 0.0000
Ho 2.3739 2.3739 0.0000
Ir 0.0000 2.3739 1.7955
Ir 2.3739 0.0000 1.7955
```

Calculated values
energy of formation from the pure elements = -0.7887 eV per atom

***

Material: Zn5Cr20Ga4Se40
Method: DFT, PBE
State: optimized geometry

Structure (extended XYZ):
```
69
Lattice="-8.3838 8.3838 5.3036 8.3838 -8.3838 5.3036 8.3838 8.3838 -5.3036" Properties=species:S:1:pos:R:3 pbc="T T T"
Zn 0.0000 0.0000 0.0000
Zn 3.3462 -1.6704 2.6520
Zn 5.0376 10.0541 -2.6516
Zn 6.7134 5.0376 2.6516
Zn 1.6704 3.3462 7.9552
Cr 10.1027 -0.8547 1.2725
Cr 5.8690 -5.0380 3.9724
Cr 5.8477 3.2813 -1.2853
Cr 6.6649 0.8547 1.2725
Cr 3.3458 2.5148 1.3312
Cr 7.5489 6.7148 -1.3200
Cr 7.5290 -1.7189 4.0311
Cr -0.0364 4.2256 1.3016
Cr 5.1025 -2.5360 6.5889
Cr 0.8349 1.6689 3.9836
Cr 9.2385 1.7189 4.0311
Cr 1.6689 -0.8349 6.6236
Cr 6.7148 9.2187 1.3200
Cr 2.5148 13.4218 -1.3312
Cr 2.5360 5.1025 4.0182
Cr 3.2813 10.9198 1.2853
Cr 0.0364 12.5420 1.3016
Cr 4.1582 8.3474 4.0019
Cr -4.1582 8.4201 4.0019
Cr 5.0380 5.8690 6.6347
Ga 10.0446 3.3333 -0.0011
Ga 3.3333 6.7230 0.0011
Ga 5.0505 1.6608 5.3047
Ga -1.6608 5.0505 5.3024
Se 11.8648 2.4349 -1.4600
Se 7.4806 6.5566 -3.8588
Se 3.4728 2.4440 -1.1995
Se 7.6257 -1.5197 1.4417
Se 12.5219 -0.1474 1.2212
Se 8.2242 4.2472 -1.4420
Se 4.2456 0.1474 1.2212
Se 8.2363 -4.1381 4.0824
Se 5.1710 5.7825 -1.4245
Se 9.1419 1.5197 1.4417
Se 5.1655 -2.5988 4.0710
Se 0.9032 1.8272 1.4448
Se 5.7850 3.2183 1.2325
Se 9.9035 -0.7581 3.8619
Se 5.9398 -4.9109 6.5031
Se 1.5330 -0.7677 4.0867
Se 6.8640 0.7581 3.8619
Se 2.4349 4.9027 1.4600
Se 6.8507 9.1515 -1.2168
Se 10.9850 5.1710 1.4245
Se -0.8996 6.5725 1.2187
Se 3.2128 2.6012 3.8791
Se 7.6161 6.8507 1.2168
Se 3.2183 10.9826 -1.2325
Se 0.1595 4.1366 3.8616
Se 4.1366 -0.1595 6.7455
Se 8.5312 4.1381 4.0824
Se 4.2472 8.5433 1.4420
Se 0.7677 1.5330 6.5204
Se -3.4811 5.9488 3.8436
Se 0.8996 10.1950 1.2187
Se 4.9109 5.9398 4.1041
Se 1.8272 -0.9032 9.1624
Se -2.6012 3.2128 6.7281
Se 1.8113 7.4842 4.0849
Se 5.9488 3.4811 6.7635
Se 2.4440 13.2947 1.1995
Se 6.5566 9.2869 3.8588
Se 2.5988 5.1655 6.5361
Se -1.8113 9.2833 4.0849
```

Calculated values
ΔE_f (raw) = -0.57 eV per atom

***

| no. | DOS at the Fermi energy (states/eV/atom) |
| --- | --- |
| 1 | 0.18 |
| 2 | 0.14 |